Tb6HgRh2 | GGA-PBE | relaxed

It has space group C2/m (No. 12), with a = 10.2342 Å, b = 5.0236 Å, c = 9.1701 Å, α = 90.00°, β = 101.50° and γ = 90.00°. Symmetry generates all atoms from Tb at (0.0363, 0.0000, 0.3427), Tb at (0.1566, 0.5000, 0.8903), Tb at (0.2159, 0.5000, 0.3353), Hg at (0.0000, 0.0000, 0.0000) and Rh at (0.1246, 0.5000, 0.5988).

The calculation puts the formation energy at -3.898 eV/f.u.

=====

TbThHgRh | GGA-PBE | relaxed

It has space group R3m (No. 160, hexagonal axes), with a = 4.0764 Å, b = 4.0764 Å, c = 22.9263 Å, α = 90.00°, β = 90.00° and γ = 120.00°. Symmetry generates all atoms from Tb at (0.0000, 0.0000, 0.0000), Th at (0.0000, 0.0000, 0.8026), Hg at (0.0000, 0.0000, 0.2382) and Rh at (0.0000, 0.0000, 0.4033).

The calculation puts the formation energy at -2.323 eV/f.u.

=====

TbThHgRh | GGA-PBE | relaxed

It has space group F-43m (No. 216), with a = 7.3071 Å, b = 7.3071 Å, c = 7.3071 Å, α = 90.00°, β = 90.00° and γ = 90.00°. Symmetry generates all atoms from Tb at (0.0000, 0.0000, 0.0000), Th at (0.0000, 0.0000, 0.5000), Hg at (0.2500, 0.2500, 0.7500) and Rh at (0.2500, 0.2500, 0.2500).

The calculation puts the formation energy at -1.894 eV/f.u.

=====

Number 1: E above lowest polymorph 0.117 eV per atom, D(E_F) 16.03 states/eV per cell. Number 2: E above lowest polymorph 0.000 eV per atom, D(E_F) 11.21 states/eV per cell. Number 3: E above lowest polymorph 0.107 eV per atom, D(E_F) 15.40 states/eV per cell.